# 1
{"formula": "LaBe4Cr", "functional": "PBE", "state": "relaxed", "lattice": [[-4.060, 1.419, 2.232], [-1.799, 4.423, -0.824], [-4.101, 0.515, -2.528]], "species": ["La", "Be", "Be", "Be", "Be", "Cr"], "frac_coords": [[0.000, 0.000, 0.000], [0.620, 0.620, 0.139], [0.620, 0.139, 0.620], [0.620, 0.620, 0.620], [0.139, 0.620, 0.620], [0.250, 0.250, 0.250]], "sg": "No. 216", "e_form_ev_per_atom": 0.2201}

---

# 2
{"formula": "TaGa2Ni", "functional": "PBE", "state": "relaxed", "lattice": [[6.878, 0.000, 0.000], [0.000, 6.878, 0.000], [3.439, 3.439, 2.662]], "species": ["Ni", "Ni", "Ga", "Ga", "Ga", "Ga", "Ta", "Ta"], "frac_coords": [[0.500, 0.500, 0.000], [0.250, 0.750, 0.500], [0.586, 0.125, 0.250], [0.164, 0.625, 0.250], [0.375, 0.414, 0.750], [0.875, 0.836, 0.750], [0.000, 0.000, 0.000], [0.750, 0.250, 0.500]], "sg": "No. 122", "e_form_ev_per_atom": 0.0414}

---

# 3
{"formula": "TbMgZn2Au2", "functional": "PBE", "state": "relaxed", "lattice": [[-1.822, -4.100, 0.552], [0.862, 1.550, -4.158], [6.045, -2.651, 0.265]], "species": ["Tb", "Mg", "Zn", "Zn", "Au", "Au"], "frac_coords": [[0.000, 0.000, 0.000], [0.000, 0.000, 0.500], [0.333, 0.667, 0.713], [0.667, 0.333, 0.287], [0.333, 0.667, 0.268], [0.667, 0.333, 0.732]], "sg": "No. 164", "e_form_ev_per_atom": -0.5565}

---

# 4
{"formula": "Pr2TiAlPt6", "functional": "PBE", "state": "relaxed", "lattice": [[-2.806, -3.182, -7.117], [5.240, 0.634, -2.349], [1.642, -6.290, -5.137]], "species": ["Pr", "Pr", "Ti", "Al", "Pt", "Pt", "Pt", "Pt", "Pt", "Pt"], "frac_coords": [[0.209, 0.791, 0.418], [0.791, 0.209, 0.582], [0.500, 0.500, 0.000], [0.000, 0.000, 0.000], [0.249, 0.750, 0.000], [0.751, 0.751, 0.000], [0.249, 0.250, 0.501], [0.751, 0.250, 0.000], [0.249, 0.249, 0.000], [0.751, 0.750, 0.499]], "sg": "No. 166", "e_form_ev_per_atom": -0.8022}

---

# 5
{"formula": "YMg2MnNi", "functional": "PBE", "state": "relaxed", "lattice": [[-1.732, 4.442, 0.225], [-2.976, -0.984, -3.480], [-3.253, -1.430, 3.186]], "species": ["Y", "Ni", "Mg", "Mg", "Mn"], "frac_coords": [[0.500, 0.500, 0.500], [0.000, 0.000, 0.000], [0.000, 0.000, 0.500], [0.500, 0.000, 0.000], [0.000, 0.500, 0.000]], "sg": "No. 123", "e_form_ev_per_atom": 0.1601}

---

# 6
{"formula": "Ho2Er3S8", "functional": "PBE", "state": "relaxed", "lattice": [[6.632, 0.000, 0.168], [0.000, 7.845, 0.000], [-2.489, -3.923, 6.319]], "species": ["Ho", "Ho", "Er", "Er", "Er", "S", "S", "S", "S", "S", "S", "S", "S"], "frac_coords": [[0.341, 0.262, 0.524], [0.659, 0.738, 0.476], [0.500, 0.000, 0.000], [0.000, 0.263, 0.000], [0.000, 0.737, 0.000], [0.910, 0.619, 0.238], [0.090, 0.381, 0.762], [0.928, 0.117, 0.233], [0.072, 0.883, 0.767], [0.586, 0.642, 0.752], [0.586, 0.111, 0.752], [0.414, 0.889, 0.248], [0.414, 0.358, 0.248]], "sg": "No. 12", "e_form_raw_mev_per_atom": -1885}

---

# 7
{"formula": "Pm5ZnIn4", "functional": "PBE", "state": "relaxed", "lattice": [[3.707, 0.000, 0.000], [0.000, 3.707, 0.000], [0.000, 0.000, 20.202]], "species": ["Pm", "Pm", "Pm", "Pm", "Pm", "Zn", "In", "In", "In", "In"], "frac_coords": [[0.500, 0.500, 0.088], [0.500, 0.500, 0.293], [0.500, 0.500, 0.500], [0.500, 0.500, 0.707], [0.500, 0.500, 0.912], [0.000, 0.000, 0.000], [0.000, 0.000, 0.189], [0.000, 0.000, 0.396], [0.000, 0.000, 0.604], [0.000, 0.000, 0.811]], "sg": "No. 123", "e_form_ev_per_atom": -0.4640}

---

# 8
{"formula": "BaGaS3", "functional": "PBE", "state": "relaxed", "lattice": [[-2.151, 5.102, -2.153], [-1.292, -2.709, -5.127], [-5.384, -1.388, 2.090]], "species": ["S", "S", "S", "Ba", "Ga"], "frac_coords": [[0.000, 0.500, 0.000], [0.000, 0.000, 0.500], [0.500, 0.000, 0.000], [0.000, 0.000, 0.000], [0.500, 0.500, 0.500]], "sg": "No. 221", "e_form_raw_mev_per_atom": 235}

---

Total energy for every record listed, in sequence, given in eV/atom: -4.689, -5.880, -3.111, -6.546, -4.761, -6.182, -4.062, -3.231.
DOS(E_F) for every record listed, in sequence, given in states/eV per cell: 0.96, 6.93, 3.61, 4.31, 3.48, 6.72, 6.20, 5.57.